[1]
Computed, not measured: CrSi2Pb after structural relaxation at the PBE level of DFT.

Properties
Raw total energy ... -5.69 eV per atom
M_tot ... 0.0 μB/cell
Crystal system ... monoclinic

The structure in POSCAR format:
```
CrSi2Pb
1.0
-2.990 -1.409 -2.809
-3.863 -1.933 0.392
-2.342 5.555 0.271
Pb Cr Si
1 1 2
direct
0.160 0.160 0.319
0.478 0.478 0.627
0.776 0.776 0.685
0.085 0.085 0.869
```

---

[2]
Computed, not measured: Cr2SiPb after structural relaxation at the PBE level of DFT.

Properties
Raw total energy ... -6.34 eV per atom
M_tot ... 0.0 μB/cell
Polymorph energy (0 for the lowest one) ... 415 meV/atom
Crystal system ... tetragonal

The structure in POSCAR format:
```
Cr2SiPb
1.0
-1.841 -0.191 3.588
0.126 -4.032 -0.151
6.892 -2.019 5.700
Cr Si Pb
4 2 2
direct
0.509 0.125 0.250
0.375 0.491 0.750
0.241 0.625 0.250
0.875 0.759 0.750
0.250 0.750 0.500
0.500 0.500 0.000
0.750 0.250 0.500
0.000 0.000 0.000
```

---

[3]
Computed, not measured: Cr2SiPb after structural relaxation at the PBE level of DFT.

Properties
Raw total energy ... -6.55 eV per atom
M_tot ... 1.0 μB/cell
Polymorph energy (0 for the lowest one) ... 212 meV/atom
Crystal system ... trigonal

The structure in POSCAR format:
```
Cr2SiPb
1.0
8.696 0.048 0.028
8.138 3.063 0.028
8.138 1.504 2.669
Cr Pb Si
2 1 1
direct
0.998 0.998 0.998
0.267 0.267 0.267
0.503 0.503 0.503
0.732 0.732 0.732
```

---

[4]
Computed, not measured: Ti2CrSiPb after structural relaxation at the PBE level of DFT.

Properties
Raw total energy ... -6.51 eV per atom
M_tot ... 0.0 μB/cell
Crystal system ... tetragonal

The structure in POSCAR format:
```
Ti2CrSiPb
1.0
4.617 0.000 0.000
0.000 4.500 0.000
0.000 0.000 4.617
Ti Si Cr Pb
2 1 1 1
direct
0.000 0.000 0.500
0.500 0.000 0.000
0.000 0.500 0.000
0.000 0.000 0.000
0.500 0.500 0.500
```

---

[5]
Computed, not measured: Cr2SnPb after structural relaxation at the PBE level of DFT.

Properties
Raw total energy ... -6.20 eV per atom
M_tot ... 7.8 μB/cell
Polymorph energy (0 for the lowest one) ... 0 meV/atom
Crystal system ... cubic
Calculated formation energy ... 0.5407 eV/atom

The structure in POSCAR format:
```
Cr2SnPb
1.0
4.379 -0.713 2.132
0.711 1.359 4.678
0.502 -3.418 3.507
Sn Cr Pb
1 2 1
direct
0.000 0.000 0.000
0.750 0.750 0.750
0.250 0.250 0.250
0.500 0.500 0.500
```

---

[6]
Computed, not measured: Cr2SnPb after structural relaxation at the PBE level of DFT.

Properties
Raw total energy ... -5.99 eV per atom
M_tot ... 13.5 μB/cell
Polymorph energy (0 for the lowest one) ... 211 meV/atom
Crystal system ... tetragonal
Calculated formation energy ... 0.7516 eV/atom

The structure in POSCAR format:
```
Cr2SnPb
1.0
7.554 0.000 0.000
0.000 7.554 0.000
3.777 3.777 3.125
Pb Cr Sn
2 4 2
direct
0.750 0.250 0.500
0.000 0.000 0.000
0.137 0.625 0.250
0.613 0.125 0.250
0.375 0.387 0.750
0.875 0.863 0.750
0.250 0.750 0.500
0.500 0.500 0.000
```

---

[7]
Computed, not measured: CrSn2Pb after structural relaxation at the PBE level of DFT.

Properties
Raw total energy ... -4.94 eV per atom
M_tot ... 7.7 μB/cell
Crystal system ... tetragonal
Calculated formation energy ... 0.3910 eV/atom

The structure in POSCAR format:
```
CrSn2Pb
1.0
-4.080 0.550 -1.542
-1.610 -2.090 3.516
-3.566 8.651 6.255
Sn Pb Cr
4 2 2
direct
0.875 0.858 0.750
0.375 0.392 0.750
0.608 0.125 0.250
0.142 0.625 0.250
0.750 0.250 0.500
0.000 0.000 0.000
0.500 0.500 0.000
0.250 0.750 0.500
```

---

[8]
Computed, not measured: CrSn2Pb2 after structural relaxation at the PBE level of DFT.

Properties
Raw total energy ... -4.74 eV per atom
M_tot ... 7.5 μB/cell
Crystal system ... tetragonal
Calculated formation energy ... 0.2648 eV/atom

The structure in POSCAR format:
```
CrSn2Pb2
1.0
7.276 0.000 0.000
0.000 7.276 0.000
0.000 0.000 5.195
Sn Pb Cr
4 4 2
direct
0.144 0.356 0.000
0.644 0.144 0.000
0.356 0.856 0.000
0.856 0.644 0.000
0.828 0.328 0.500
0.672 0.828 0.500
0.172 0.672 0.500
0.328 0.172 0.500
0.000 0.000 0.000
0.500 0.500 0.000
```

---

[9]
Computed, not measured: TaCr2SnPb after structural relaxation at the PBE level of DFT.

Properties
Raw total energy ... -6.38 eV per atom
M_tot ... 8.0 μB/cell
Crystal system ... tetragonal
Calculated formation energy ... 1.3812 eV/atom

The structure in POSCAR format:
```
TaCr2SnPb
1.0
4.988 0.000 0.000
0.000 5.230 0.000
0.000 0.000 4.988
Ta Cr Pb Sn
1 2 1 1
direct
0.000 0.500 0.000
0.000 0.000 0.500
0.500 0.000 0.000
0.500 0.500 0.500
0.000 0.000 0.000
```

---

[10]
Computed, not measured: CrTcSnPb2 after structural relaxation at the PBE level of DFT.

Properties
Raw total energy ... -5.57 eV per atom
M_tot ... 2.5 μB/cell
Polymorph energy (0 for the lowest one) ... 0 meV/atom
Crystal system ... tetragonal
Calculated formation energy ... 0.7094 eV/atom

The structure in POSCAR format:
```
CrTcSnPb2
1.0
-1.479 -1.647 4.842
4.526 -0.925 1.068
0.574 4.955 1.861
Cr Pb Tc Sn
1 2 1 1
direct
0.000 0.500 0.000
0.500 0.000 0.000
0.000 0.000 0.500
0.000 0.000 0.000
0.500 0.500 0.500
```

---

[11]
Computed, not measured: Cr2TcSnPb after structural relaxation at the PBE level of DFT.

Properties
Raw total energy ... -5.85 eV per atom
M_tot ... 6.1 μB/cell
Crystal system ... tetragonal
Calculated formation energy ... 1.6143 eV/atom

The structure in POSCAR format:
```
Cr2TcSnPb
1.0
-0.907 -1.558 -4.773
3.697 -3.562 0.460
-3.437 -3.342 1.744
Tc Cr Sn Pb
1 2 1 1
direct
0.000 0.500 0.000
0.500 0.000 0.000
0.000 0.000 0.500
0.500 0.500 0.500
0.000 0.000 0.000
```

---

[12]
Computed, not measured: CrTcSnPb2 after structural relaxation at the PBE level of DFT.

Properties
Raw total energy ... -4.68 eV per atom
M_tot ... 5.3 μB/cell
Polymorph energy (0 for the lowest one) ... 891 meV/atom
Crystal system ... tetragonal
Calculated formation energy ... 1.6000 eV/atom

The structure in POSCAR format:
```
CrTcSnPb2
1.0
-5.463 -2.221 -0.862
1.232 -4.197 3.008
-1.940 2.896 4.835
Cr Pb Sn Tc
1 2 1 1
direct
0.500 0.500 0.500
0.000 0.000 0.500
0.500 0.000 0.000
0.000 0.000 0.000
0.000 0.500 0.000
```

---

Q: What is the formula in the ninth record?
A: TaCr2SnPb

---

Q: Look up the M_tot of the tenth one.
A: 2.5 μB/cell